Material: AcSc2Tl2Ag2
Method: DFT, PBE-GGA
State: optimized geometry

```
data_AcSc2Tl2Ag2
_space_group_name_H-M_alt 'R -3 m'
_space_group_IT_number 166
_space_group_name_Hall '-R 3 2"'
_cell_length_a 4.8243
_cell_length_b 4.8243
_cell_length_c 26.7380
_cell_angle_alpha 90.00
_cell_angle_beta 90.00
_cell_angle_gamma 120.00
loop_
_atom_site_label
_atom_site_type_symbol
_atom_site_fract_x
_atom_site_fract_y
_atom_site_fract_z
Ac1 Ac 0.0000 0.0000 0.0000
Sc1 Sc 0.0000 0.0000 0.1377
Tl1 Tl 0.0000 0.0000 0.2549
Ag1 Ag 0.0000 0.0000 0.4450
```

Values from the calculation:
V, Å³/f.u.: 180
Density, g cm⁻³: 8.702
Final energy, eV per atom: -4.1202
Formation energy from the elements, eV per atom: -0.23